Below is a geometry-optimized LiV4P3O12 structure, with properties calculated at the PBE+U level.

a b c (Å): 8.2084 8.2084 10.2771
angles (deg): 90.00 90.00 131.81
Closest atoms and distances in Å follow each position.
Atoms (fractional coordinates):
P1 0.1808 0.8192 0.4578  4 O 1.52-1.60
P2 0.4788 0.5212 0.2060  4 O 1.56-1.57
P3 0.1888 0.8112 0.0305  4 O 1.51-1.61
P4 0.8192 0.1808 0.9578  4 O 1.52-1.60
P5 0.5212 0.4788 0.7060  4 O 1.56-1.57
P6 0.8112 0.1888 0.5305  4 O 1.51-1.61
V1 0.6282 0.3718 0.4377  5 O 2.08-2.19
V2 0.0482 0.4577 0.2446  5 O 2.09-2.22
V3 0.5423 0.9518 0.2446  5 O 2.09-2.22
V4 0.6345 0.3655 0.0573  5 O 2.10-2.26
V5 0.3718 0.6282 0.9377  5 O 2.08-2.19
V6 0.4577 0.0482 0.7446  5 O 2.09-2.22
V7 0.9518 0.5423 0.7446  5 O 2.09-2.22
V8 0.3655 0.6345 0.5573  5 O 2.10-2.26
O1 0.3097 0.0563 0.4197  1 P 1.52
O2 0.9437 0.6903 0.4197  1 P 1.52
O3 0.2742 0.7258 0.3823  1 P 1.60
O4 0.7806 0.2194 0.3809  1 P 1.61
O5 0.2390 0.3740 0.2560  1 P 1.56
O6 0.6260 0.7610 0.2560  1 P 1.56
O7 0.5785 0.4215 0.2487  1 P 1.56
O8 0.7879 0.2121 0.1058  1 P 1.59
O9 0.2827 0.7173 0.1068  1 P 1.61
O10 0.3269 0.0487 0.0667  1 P 1.51
O11 0.9513 0.6731 0.0667  1 P 1.51
O12 0.4880 0.5120 0.0540  1 P 1.57
O13 0.0563 0.3097 0.9197  1 P 1.52
O14 0.6903 0.9437 0.9197  1 P 1.52
O15 0.7258 0.2742 0.8823  1 P 1.60
O16 0.2194 0.7806 0.8809  1 P 1.61
O17 0.4215 0.5785 0.7487  1 P 1.56
O18 0.3740 0.2390 0.7560  1 P 1.56
O19 0.7610 0.6260 0.7560  1 P 1.56
O20 0.2121 0.7879 0.6058  1 P 1.59
O21 0.7173 0.2827 0.6068  1 P 1.61
O22 0.6731 0.9513 0.5667  1 P 1.51
O23 0.0487 0.3269 0.5667  1 P 1.51
O24 0.5120 0.4880 0.5540  1 P 1.57
Li1 0.0240 0.9760 0.3179  2 O 2.23
Li2 0.9760 0.0240 0.8179  2 O 2.23

Total DFT energy (no corrections) = -0.5472 Ry/atom
Space group = Cmc2_1, No. 36